LiTb2Tl6 | PBE | relaxed

Properties
As for the space-group type: Cmmm. The formation enthalpy at 0 K comes out at -0.11 eV/atom.

The structure in POSCAR format:
```
LiTb2Tl6
1.0
-1.832 -0.763 3.017
4.527 -7.007 0.978
3.283 7.706 3.944
Li Tb Tl
1 2 6
Direct
0.000 0.000 0.000
0.499 0.692 0.385
0.501 0.308 0.615
0.001 0.028 0.687
0.500 0.689 0.000
0.999 0.341 0.313
0.500 0.311 0.000
0.999 0.972 0.313
0.001 0.659 0.687
```